(1)
DFT (GGA-PBE) results for a relaxed K3Tl2Pb4 crystal.

The calculation puts the calculated volume at 320 Å³/cell. The formation energy comes out at -0.1077 eV/atom. The calculation puts the density of states at the Fermi level at 5.28 states/eV/f.u.

Unit cell a=5.1049 b=8.0422 c=8.5508 alpha=105.33 beta=90.06 gamma=108.46
Last column: nearest neighbours and their distance in Å.
Space group P-1 (No. 2)
Inequivalent atoms, fractional coordinates:
K 0.0000 0.0000 0.0000 [1 per cell]  2 Tl 3.69, 6 Pb 3.73-3.91, 4 K 3.84
K 0.4394 0.8794 0.6510 [2 per cell]  3 Tl 3.56-3.74, 3 K 3.56-3.84, 4 Pb 3.85-3.96
Tl 0.2189 0.4371 0.3237 [2 per cell]  4 Pb 3.29-3.62, 2 K 3.56
Pb 0.1492 0.2974 0.6945 [2 per cell]  3 Pb 3.23-3.53, 2 Tl 3.29
Pb 0.3238 0.6474 0.0109 [2 per cell]  5 Pb 3.23-3.53, 1 Tl 3.48

***

(2)
DFT (GGA-PBE) results for a relaxed Sc2InTe crystal.

The calculation puts the calculated volume at 190 Å³/cell. The value obtained for the distance to the lowest polymorph of the same formula is 142 meV/atom. The calculation puts the density of states at the Fermi level at 4.02 states/eV/f.u. The uncorrected formation energy is -0.54 eV/atom.

Unit cell a=6.6591 b=8.0008 c=3.6218 alpha=90.00 beta=99.93 gamma=90.00
Last column: nearest neighbours and their distance in Å.
Space group C2/m (No. 12)
Inequivalent atoms, fractional coordinates:
Sc 0.2500 0.2500 0.0000 [4 per cell]  4 In 3.00-3.33, 4 Te 3.00-3.33, 2 Sc 3.33
In 0.0000 0.0000 0.5000 [2 per cell]  8 Sc 3.00-3.33, 2 Te 3.33
Te 0.0000 0.5000 0.5000 [2 per cell]  8 Sc 3.00-3.33, 2 In 3.33

***

(3)
DFT (GGA-PBE) results for a relaxed Y2CdCo2 crystal.

The calculation puts the calculated volume at 208 Å³/cell. The formation energy comes out at -0.2655 eV/atom. The calculation puts the density of states at the Fermi level at 4.98 states/eV/f.u.

Unit cell a=3.8490 b=13.7255 c=3.9462 alpha=90.00 beta=90.00 gamma=90.00
Last column: nearest neighbours and their distance in Å.
Space group Cmmm (No. 65)
Inequivalent atoms, fractional coordinates:
Y 0.0000 0.1372 0.0000 [4 per cell]  6 Co 2.89-2.93
Cd 0.0000 0.5000 0.5000 [2 per cell]  2 Co 2.86
Co 0.0000 0.2914 0.5000 [4 per cell]  2 Co 2.24

***

(4)
DFT (GGA-PBE) results for a relaxed LiGaSi crystal.

The calculation puts the calculated volume at 327 Å³/cell. The calculation puts the density of states at the Fermi level at 0.56 states/eV/f.u. The uncorrected formation energy is -0.11 eV/atom.

Unit cell a=4.1718 b=12.9714 c=6.0402 alpha=90.00 beta=90.00 gamma=90.00
Last column: nearest neighbours and their distance in Å.
Space group Imm2 (No. 44)
Inequivalent atoms, fractional coordinates:
Li 0.0000 0.0000 0.0000 [2 per cell]  4 Si 2.70-2.73, 1 Ga 2.89, 4 Li 2.94
Li 0.0000 0.3401 0.4889 [4 per cell]  4 Si 2.61-2.68
Ga 0.0000 0.0000 0.4788 [2 per cell]  4 Si 2.51-2.57
Ga 0.0000 0.3195 0.9919 [4 per cell]  4 Si 2.52-2.68
Si 0.0000 0.1693 0.2595 [4 per cell]  4 Ga 2.52-2.57, 4 Li 2.61-2.70
Si 0.0000 0.5000 0.2090 [2 per cell]  4 Ga 2.51-2.68, 4 Li 2.68-2.73

***

(5)
DFT (GGA-PBE) results for a relaxed FeAs2Cl crystal.

The calculation puts the calculated volume at 278 Å³/cell. The value obtained for the distance to the lowest polymorph of the same formula is 610 meV/atom. The calculation puts the density of states at the Fermi level at 2.82 states/eV/f.u. The uncorrected formation energy is 0.48 eV/atom.

Unit cell a=6.5296 b=6.5296 c=6.5296 alpha=90.00 beta=90.00 gamma=90.00
Last column: nearest neighbours and their distance in Å.
Space group F-43m (No. 216)
Inequivalent atoms, fractional coordinates:
Fe 0.0000 0.0000 0.0000 [4 per cell]  4 Cl 2.83, 4 As 2.83
As 0.0000 0.0000 0.5000 [4 per cell]  4 Cl 2.83, 4 As 2.83
As 0.2500 0.2500 0.2500 [4 per cell]  4 As 2.83, 4 Fe 2.83
Cl 0.2500 0.2500 0.7500 [4 per cell]  4 As 2.83, 4 Fe 2.83

***

(6)
DFT (GGA-PBE) results for a relaxed CaTaSe2 crystal.

The calculation puts the calculated volume at 311 Å³/cell. The value obtained for the distance to the lowest polymorph of the same formula is 255 meV/atom. The calculation puts the density of states at the Fermi level at 3.44 states/eV/f.u. The uncorrected formation energy is -0.62 eV/atom.

Unit cell a=6.7751 b=6.7751 c=6.7751 alpha=90.00 beta=90.00 gamma=90.00
Last column: nearest neighbours and their distance in Å.
Space group Fm-3m (No. 225)
Inequivalent atoms, fractional coordinates:
Ca 0.0000 0.0000 0.0000 [4 per cell]  8 Se 2.93
Ta 0.0000 0.0000 0.5000 [4 per cell]  8 Se 2.93
Se 0.2500 0.2500 0.2500 [8 per cell]  4 Ta 2.93, 4 Ca 2.93

***

(7)
DFT (GGA-PBE) results for a relaxed TbB6 crystal.

The calculation puts the calculated volume at 127 Å³/cell. The value obtained for the distance to the lowest polymorph of the same formula is 345 meV/atom. The formation energy comes out at -0.0657 eV/atom. The calculation puts the density of states at the Fermi level at 3.62 states/eV/f.u.

Unit cell a=5.0251 b=5.0251 c=5.0251 alpha=90.00 beta=90.00 gamma=90.00
Last column: nearest neighbours and their distance in Å.
Space group Im-3m (No. 229)
Inequivalent atoms, fractional coordinates:
Tb 0.0000 0.0000 0.0000 [2 per cell]  24 B 2.81
B 0.0000 0.2500 0.5000 [12 per cell]  4 B 1.78

***

(8)
DFT (GGA-PBE) results for a relaxed K2TeAs crystal.

The calculation puts the calculated volume at 146 Å³/cell. The value obtained for the distance to the lowest polymorph of the same formula is 710 meV/atom. The calculation puts the density of states at the Fermi level at 3.12 states/eV/f.u. The uncorrected formation energy is 0.16 eV/atom.

Unit cell a=3.3295 b=3.3295 c=13.1942 alpha=90.00 beta=90.00 gamma=90.00
Last column: nearest neighbours and their distance in Å.
Space group P4mm (No. 99)
Inequivalent atoms, fractional coordinates:
K 0.0000 0.0000 0.0000 [1 per cell]  4 K 3.33, 4 As 3.35
K 0.5000 0.5000 0.3428 [1 per cell]  4 K 3.33, 4 Te 3.47
Te 0.0000 0.0000 0.5362 [1 per cell]  4 Te 3.33, 4 K 3.47
As 0.5000 0.5000 0.8189 [1 per cell]  4 As 3.33, 4 K 3.35